1.
Computed, not measured: crystalline Li3GaHg2 at its relaxed geometry at the PBE level of DFT.

Structure (POSCAR):
```
Li3GaHg2
1.0
2.311 -7.007 0.000
2.311 7.007 0.000
0.000 0.000 6.503
Li Ga Hg
6 2 4
Cartesian
0.000 0.000 1.560 Li
0.000 0.000 4.943 Li
2.311 2.325 1.584 Li
2.311 2.325 4.919 Li
2.311 -2.325 1.584 Li
2.311 -2.325 4.919 Li
2.311 4.561 0.000 Ga
2.311 -4.561 0.000 Ga
2.311 4.668 3.252 Hg
2.311 0.000 0.000 Hg
2.311 0.000 3.252 Hg
2.311 -4.668 3.252 Hg
```

For the total energy, the calculation gives -1.891 eV per atom. The density is 7.75 g/cm³. The calculated volume comes out at 105.3 Å³/f.u.


2.
Computed, not measured: crystalline Ni2AsAu at its relaxed geometry at the PBE level of DFT.

Structure (POSCAR):
```
Ni2AsAu
1.0
1.941 1.121 4.670
-1.941 1.121 4.670
0.000 -2.242 4.670
Ni As Au
2 1 1
Cartesian
0.000 0.000 0.000 Ni
0.000 0.000 3.148 Ni
0.000 0.000 8.667 As
0.000 0.000 6.128 Au
```

For the total energy, the calculation gives -4.879 eV per atom. For the polymorph energy (0 for the lowest one), the calculation gives 0.14 eV/f.u. The density is 10.60 g/cm³. The calculated volume comes out at 61.0 Å³/f.u.


3.
Computed, not measured: crystalline ScTi2TlB at its relaxed geometry at the PBE level of DFT.

Structure (POSCAR):
```
ScTi2TlB
1.0
4.389 0.000 0.000
0.000 4.389 0.000
0.000 0.000 4.583
Sc Ti Tl B
1 2 1 1
Cartesian
0.000 0.000 0.000 Sc
0.000 2.194 2.292 Ti
2.194 0.000 2.292 Ti
2.194 2.194 0.000 Tl
0.000 0.000 2.292 B
```

For the total energy, the calculation gives -6.537 eV per atom. For the polymorph energy (0 for the lowest one), the calculation gives 0.00 eV/f.u. The density is 6.69 g/cm³. The calculated volume comes out at 88.3 Å³/f.u.